{"formula": "La2TlW", "functional": "GGA-PBEsol", "state": "relaxed", "dft_energy_ev_per_atom": -6.4893, "space_group": "No. 65", "cell": [[-0.6879, 3.0751, -1.1814], [0.2240, -1.1818, -3.1429], [-9.0231, -1.9795, 0.1012]], "species": ["La", "La", "Tl", "W"], "fractional_positions": [[0.0000, 0.0000, 0.7896], [0.0000, 0.0000, 0.2104], [0.5000, 0.5000, 0.5000], [0.5000, 0.5000, 0.0000]]}